No. 1
VASP calculation (GGA-PBE) on a geometry-optimized LiAuNF2 structure.

formation energy without anion corrections = -0.354 eV/atom
relative energy among the computed polymorphs = 0.0000 eV/atom
calculated density = 5.1 g/cm³
total moment = 0.08 μB per atom
final energy = -3.805 eV per atom

a b c (Å): 4.6955 4.6955 3.7464
angles (deg): 90.00 90.00 90.00
Closest atoms and distances in Å follow each position.
Space group P4/mmm (No. 123)
Asymmetric unit:
Li 0.0000 0.0000 0.0000 (multiplicity 1)  8 F 3.00, 4 N 3.32
Au 0.5000 0.5000 0.5000 (multiplicity 1)  2 N 1.87
N 0.5000 0.5000 0.0000 (multiplicity 1)  2 Au 1.87
F 0.0000 0.5000 0.5000 (multiplicity 2)  2 Au 2.35



No. 2
VASP calculation (GGA-PBE) on a geometry-optimized LiAuNF2 structure.

formation energy without anion corrections = -0.197 eV/atom
relative energy among the computed polymorphs = 0.1568 eV/atom
calculated density = 7.3 g/cm³
total moment = 0.39 μB per atom
final energy = -3.649 eV per atom

a b c (Å): 3.4047 3.4047 5.0491
angles (deg): 90.00 90.00 90.00
Closest atoms and distances in Å follow each position.
Space group P4/mmm (No. 123)
Asymmetric unit:
Li 0.0000 0.0000 0.0000 (multiplicity 1)  4 F 1.70
Au 0.5000 0.5000 0.5000 (multiplicity 1)  4 N 2.41
N 0.0000 0.0000 0.5000 (multiplicity 1)  4 Au 2.41, 2 Li 2.52
F 0.0000 0.5000 0.0000 (multiplicity 2)  2 Li 1.70



No. 3
VASP calculation (GGA-PBE) on a geometry-optimized NaLi2AuF8 structure.

formation energy without anion corrections = -1.861 eV/atom
calculated density = 4.0 g/cm³
total moment = 0.01 μB per atom
final energy = -3.811 eV per atom

a b c (Å): 4.8029 4.9204 6.8239
angles (deg): 84.84 84.11 86.68
Closest atoms and distances in Å follow each position.
Space group P-1 (No. 2)
Asymmetric unit:
Na 0.0000 0.0000 0.0000 (multiplicity 1)  6 F 2.21-2.42
Li 0.4536 0.4601 0.1939 (multiplicity 2)  2 F 1.87-1.88
Au 0.0000 0.0000 0.5000 (multiplicity 1)  6 F 1.96-1.98
F 0.1992 0.8007 0.7112 (multiplicity 2)  1 Au 1.97, 1 Li 2.16
F 0.2365 0.8270 0.2857 (multiplicity 2)  1 Au 1.98, 1 Li 2.14
F 0.2606 0.2951 0.4712 (multiplicity 2)  1 Au 1.96, 1 Li 2.13
F 0.3137 0.3166 0.9788 (multiplicity 2)  2 Li 1.87-1.88



No. 4
VASP calculation (GGA-PBE) on a geometry-optimized NaLiAu2F8 structure.

formation energy without anion corrections = -1.652 eV/atom
calculated density = 5.4 g/cm³
total moment = 0.00 μB per atom
final energy = -3.716 eV per atom

a b c (Å): 5.5836 5.5836 11.4304
angles (deg): 90.00 90.00 90.00
Closest atoms and distances in Å follow each position.
Space group I-4 (No. 82)
Asymmetric unit:
Na 0.0000 0.0000 0.0000 (multiplicity 2)  4 F 2.21
Li 0.0000 0.5000 0.2500 (multiplicity 2)  4 F 2.06
Au 0.0000 0.0000 0.5000 (multiplicity 2)  4 F 1.95
Au 0.0000 0.5000 0.7500 (multiplicity 2)  4 F 1.98
F 0.1505 0.6843 0.4973 (multiplicity 8)  1 Au 1.95
F 0.1910 0.2016 0.7530 (multiplicity 8)  1 Au 1.98, 1 Li 2.06



No. 5
VASP calculation (GGA-PBE) on a geometry-optimized Li2PbAuF structure.

formation energy without anion corrections = -0.461 eV/atom
calculated density = 5.6 g/cm³
total moment = 0.00 μB per atom
final energy = -2.998 eV per atom

a b c (Å): 4.8716 4.8716 5.4685
angles (deg): 90.00 90.00 90.00
Closest atoms and distances in Å follow each position.
Space group P4/mmm (No. 123)
Asymmetric unit:
Li 0.0000 0.5000 0.0000 (multiplicity 2)  2 Au 2.44
Pb 0.0000 0.0000 0.5000 (multiplicity 1)  2 Au 2.73
Au 0.0000 0.0000 0.0000 (multiplicity 1)  4 Li 2.44
F 0.5000 0.5000 0.5000 (multiplicity 1)  4 Pb 3.44, 8 Li 3.66



No. 6
VASP calculation (GGA-PBE) on a geometry-optimized LiPdAuF6 structure.

formation energy without anion corrections = -1.500 eV/atom
calculated density = 5.7 g/cm³
total moment = 0.00 μB per atom
final energy = -3.901 eV per atom

a b c (Å): 5.2886 5.2886 10.2053
angles (deg): 90.00 90.00 120.00
Closest atoms and distances in Å follow each position.
Space group P-31c (No. 163)
Asymmetric unit:
Li 0.3333 0.6667 0.2500 (multiplicity 2)  6 F 2.09
Pd 0.3333 0.6667 0.7500 (multiplicity 2)  6 F 2.01
Au 0.0000 0.0000 0.0000 (multiplicity 2)  6 F 2.35
F 0.0121 0.3568 0.6409 (multiplicity 12)  1 Pd 2.01, 1 Li 2.09



No. 7
VASP calculation (GGA-PBE) on a geometry-optimized Rb3Li2AuF9 structure.

formation energy without anion corrections = -2.233 eV/atom
calculated density = 4.3 g/cm³
total moment = 0.07 μB per atom
final energy = -4.023 eV per atom

a b c (Å): 6.0428 6.0428 7.7438
angles (deg): 90.00 90.00 120.00
Closest atoms and distances in Å follow each position.
Space group P-3m1 (No. 164)
Asymmetric unit:
Rb 0.0000 0.0000 0.0000 (multiplicity 1)  12 F 3.02-3.17
Rb 0.3333 0.6667 0.6905 (multiplicity 2)  12 F 2.96-3.21, 1 Li 3.08
Li 0.3333 0.6667 0.0883 (multiplicity 2)  3 F 1.87
Au 0.0000 0.0000 0.5000 (multiplicity 1)  6 F 2.05
F 0.0000 0.5000 0.0000 (multiplicity 3)  2 Li 1.87
F 0.1600 0.3200 0.3479 (multiplicity 6)  1 Au 2.05



No. 8
VASP calculation (GGA-PBE) on a geometry-optimized LiAuSe2F structure.

formation energy without anion corrections = 0.189 eV/atom
calculated density = 6.7 g/cm³
total moment = 0.12 μB per atom
final energy = -2.617 eV per atom

a b c (Å): 4.4755 4.4755 4.7354
angles (deg): 90.00 90.00 90.00
Closest atoms and distances in Å follow each position.
Space group P4/mmm (No. 123)
Asymmetric unit:
Li 0.0000 0.0000 0.0000 (multiplicity 1)  4 Se 2.24, 2 Au 2.37
Au 0.0000 0.0000 0.5000 (multiplicity 1)  2 Li 2.37
Se 0.0000 0.5000 0.0000 (multiplicity 2)  2 Li 2.24
F 0.5000 0.5000 0.5000 (multiplicity 1)  4 Au 3.16, 8 Se 3.26



What is the formula in the third record?
NaLi2AuF8



Among the records above, which one has the highest calculated density?
number 2



Copy entry 8 word for word.
VASP calculation (GGA-PBE) on a geometry-optimized LiAuSe2F structure.

formation energy without anion corrections = 0.189 eV/atom
calculated density = 6.7 g/cm³
total moment = 0.12 μB per atom
final energy = -2.617 eV per atom

a b c (Å): 4.4755 4.4755 4.7354
angles (deg): 90.00 90.00 90.00
Closest atoms and distances in Å follow each position.
Space group P4/mmm (No. 123)
Asymmetric unit:
Li 0.0000 0.0000 0.0000 (multiplicity 1)  4 Se 2.24, 2 Au 2.37
Au 0.0000 0.0000 0.5000 (multiplicity 1)  2 Li 2.37
Se 0.0000 0.5000 0.0000 (multiplicity 2)  2 Li 2.24
F 0.5000 0.5000 0.5000 (multiplicity 1)  4 Au 3.16, 8 Se 3.26